Version one
# La2CF, relaxed, DFT PBE
# Space group: No. 160
# Total moment (μB/f.u.): 0.00
data_La2CF
_chemical_formula_sum 'La2 C1 F1'
_symmetry_space_group_name_H-M 'P 1'
_symmetry_Int_Tables_number 1
_symmetry_space_group_name_Hall 'P 1'
_cell_length_a 3.711
_cell_length_b 3.711
_cell_length_c 7.095
_cell_angle_alpha 74.84
_cell_angle_beta 74.84
_cell_angle_gamma 60.00
loop_
_atom_site_label
_atom_site_fract_x
_atom_site_fract_y
_atom_site_fract_z
La1 0.073 0.073 0.781
C1 0.667 0.667 0.998
La2 0.263 0.263 0.212
F1 0.497 0.497 0.509

***

Version two
# La2CF, relaxed, DFT PBE
# Space group: No. 225
# Total moment (μB/f.u.): 0.00
data_La2CF
_chemical_formula_sum 'La2 C1 F1'
_symmetry_space_group_name_H-M 'P 1'
_symmetry_Int_Tables_number 1
_symmetry_space_group_name_Hall 'P 1'
_cell_length_a 4.593
_cell_length_b 4.593
_cell_length_c 4.593
_cell_angle_alpha 60.00
_cell_angle_beta 60.00
_cell_angle_gamma 60.00
loop_
_atom_site_label
_atom_site_fract_x
_atom_site_fract_y
_atom_site_fract_z
La1 0.750 0.750 0.750
C1 0.000 0.000 0.000
La2 0.250 0.250 0.250
F1 0.500 0.500 0.500

***

Version three
# La2CF, relaxed, DFT PBE
# Space group: No. 122
# Total moment (μB/f.u.): 0.93
data_La2CF
_chemical_formula_sum 'La4 C2 F2'
_symmetry_space_group_name_H-M 'P 1'
_symmetry_Int_Tables_number 1
_symmetry_space_group_name_Hall 'P 1'
_cell_length_a 5.799
_cell_length_b 5.799
_cell_length_c 7.155
_cell_angle_alpha 66.09
_cell_angle_beta 66.09
_cell_angle_gamma 90.00
loop_
_atom_site_label
_atom_site_fract_x
_atom_site_fract_y
_atom_site_fract_z
F1 0.750 0.250 0.500
La1 0.375 0.396 0.750
C1 0.250 0.750 0.500
La2 0.604 0.125 0.250
La3 0.146 0.625 0.250
La4 0.875 0.854 0.750
C2 0.500 0.500 0.000
F2 0.000 0.000 0.000

***

Version four
# La2CF, relaxed, DFT PBE
# Space group: No. 166
# Total moment (μB/f.u.): 0.00
data_La2CF
_chemical_formula_sum 'La2 C1 F1'
_symmetry_space_group_name_H-M 'P 1'
_symmetry_Int_Tables_number 1
_symmetry_space_group_name_Hall 'P 1'
_cell_length_a 3.789
_cell_length_b 3.789
_cell_length_c 6.752
_cell_angle_alpha 73.77
_cell_angle_beta 73.77
_cell_angle_gamma 59.99
loop_
_atom_site_label
_atom_site_fract_x
_atom_site_fract_y
_atom_site_fract_z
C1 0.000 0.000 0.000
F1 0.500 0.500 0.500
La1 0.742 0.742 0.775
La2 0.258 0.258 0.225

***

Most stable = version four